1.
The following is a DFT calculation (PBE-GGA) of crystalline Tb14SmTm at its relaxed geometry.

Cell lengths 11.5040, 7.1473, 7.1473 Å; angles 60.02, 90.00, 90.00 degrees
Fractional positions:
Tb (0.0000, 0.9997, 0.9997)
Tb (0.0000, 0.9995, 0.5001)
Tb (0.0000, 0.5001, 0.9995)
Tb (0.0000, 0.5000, 0.5000)
Tb (0.2488, 0.3331, 0.3331)
Tb (0.2500, 0.3333, 0.8326)
Tb (0.2500, 0.8326, 0.3333)
Tb (0.2509, 0.8328, 0.8328)
Tb (0.5000, 0.1665, 0.6656)
Tb (0.5000, 0.6656, 0.1665)
Tb (0.7491, 0.8328, 0.8328)
Tb (0.7500, 0.3333, 0.8326)
Tb (0.7500, 0.8326, 0.3333)
Tb (0.7512, 0.3331, 0.3331)
Sm (0.5000, 0.1664, 0.1664)
Tm (0.5000, 0.6660, 0.6660)

DFT total energy	-74.02	eV for the cell shown
Fermi-level density of states	1.07	states/eV/atom
density	8.3	g cm⁻³
energy of formation	0.00	eV/atom

2.
The following is a DFT calculation (PBE-GGA) of crystalline LaSc2Tl2 at its relaxed geometry.

Cell lengths 9.7223, 8.4950, 6.7573 Å; angles 78.29, 58.82, 42.89 degrees
Fractional positions:
La (0.1250, 0.1250, 0.1250)
La (0.8750, 0.8750, 0.8750)
Sc (0.2728, 0.2728, 0.4772)
Sc (0.4772, 0.4772, 0.2728)
Sc (0.5228, 0.5228, 0.7272)
Sc (0.7272, 0.7272, 0.5228)
Tl (0.1610, 0.5890, 0.1610)
Tl (0.4110, 0.8390, 0.4110)
Tl (0.5890, 0.1610, 0.5890)
Tl (0.8390, 0.4110, 0.8390)

DFT total energy	-44.89	eV for the cell shown
Fermi-level density of states	0.97	states/eV/atom
offset from the most stable computed form	0.220	eV per atom
density	6.8	g cm⁻³
energy of formation	-0.02	eV/atom

3.
The following is a DFT calculation (PBE-GGA) of crystalline NpTl2P3Pt12 at its relaxed geometry.

Cell lengths 7.6333, 7.6333, 7.6333 Å; angles 64.75, 64.75, 64.75 degrees
Fractional positions:
Np (0.0000, 0.0000, 0.0000)
Tl (0.3992, 0.3992, 0.3992)
Tl (0.6008, 0.6008, 0.6008)
P (0.0000, 0.0000, 0.5000)
P (0.0000, 0.5000, 0.0000)
P (0.5000, 0.0000, 0.0000)
Pt (0.1063, 0.6454, 0.6454)
Pt (0.1451, 0.1451, 0.5989)
Pt (0.1451, 0.5989, 0.1451)
Pt (0.3546, 0.3546, 0.8937)
Pt (0.3546, 0.8937, 0.3546)
Pt (0.4011, 0.8549, 0.8549)
Pt (0.5989, 0.1451, 0.1451)
Pt (0.6454, 0.1063, 0.6454)
Pt (0.6454, 0.6454, 0.1063)
Pt (0.8549, 0.4011, 0.8549)
Pt (0.8549, 0.8549, 0.4011)
Pt (0.8937, 0.3546, 0.3546)

DFT total energy	-109.69	eV for the cell shown
Fermi-level density of states	0.87	states/eV/atom
density	14.7	g cm⁻³
energy of formation	-0.18	eV/atom

4.
The following is a DFT calculation (PBE-GGA) of crystalline Cd5SnAu6 at its relaxed geometry.

Cell lengths 6.1874, 6.1874, 6.8333 Å; angles 98.22, 98.22, 92.12 degrees
Fractional positions:
Cd (0.0000, 0.0000, 0.0000)
Cd (0.1626, 0.8374, 0.5000)
Cd (0.3317, 0.6683, 0.0000)
Cd (0.6683, 0.3317, 0.0000)
Cd (0.8374, 0.1626, 0.5000)
Sn (0.5000, 0.5000, 0.5000)
Au (0.0824, 0.4188, 0.2485)
Au (0.2552, 0.2552, 0.7480)
Au (0.4188, 0.0824, 0.2485)
Au (0.5812, 0.9176, 0.7515)
Au (0.7448, 0.7448, 0.2520)
Au (0.9176, 0.5812, 0.7515)

DFT total energy	-29.23	eV for the cell shown
Fermi-level density of states	0.34	states/eV/atom
offset from the most stable computed form	0.059	eV per atom
density	12.1	g cm⁻³
energy of formation	-0.08	eV/atom

5.
The following is a DFT calculation (PBE-GGA) of crystalline La2Pb2Cl at its relaxed geometry.

Cell lengths 8.1692, 8.1692, 4.8559 Å; angles 90.00, 90.00, 90.00 degrees
Fractional positions:
La (0.1753, 0.3247, 0.0000)
La (0.3247, 0.8247, 0.0000)
La (0.6753, 0.1753, 0.0000)
La (0.8247, 0.6753, 0.0000)
Pb (0.1298, 0.6298, 0.5000)
Pb (0.3702, 0.1298, 0.5000)
Pb (0.6298, 0.8702, 0.5000)
Pb (0.8702, 0.3702, 0.5000)
Cl (0.0000, 0.0000, 0.0000)
Cl (0.5000, 0.5000, 0.0000)

DFT total energy	-48.00	eV for the cell shown
Fermi-level density of states	0.71	states/eV/atom
formation energy from raw total energies	-22.5	kcal/mol of atoms
density	7.5	g cm⁻³